No. 1
Entry from Alexandria: a crystal of CaSiSe2 relaxed with PBEsol (meta-GGA SCAN).

## Properties
ρ ... 3.1 g cm⁻³
Uncorrected formation energy ... -48 kJ/mol of atoms
Crystal system ... trigonal

abc: 4.237 4.237 8.122
angles: 74.88 74.88 60.00
Fractional coordinates of all 4 atoms:
Ca (0.500, 0.500, 0.500)
Si (0.000, 0.000, 0.000)
Se (0.101, 0.101, 0.697)
Se (0.899, 0.899, 0.303)

No. 2
Entry from Alexandria: a crystal of CaSiSe2 relaxed with PBEsol (meta-GGA SCAN).

## Properties
ρ ... 4.6 g cm⁻³
Uncorrected formation energy ... -60 kJ/mol of atoms
Crystal system ... monoclinic

abc: 3.534 4.825 4.825
angles: 90.04 89.86 89.86
Fractional coordinates of all 4 atoms:
Si (0.500, 0.500, 0.500)
Se (0.000, 0.500, 0.000)
Se (0.000, 0.000, 0.500)
Ca (0.500, 0.000, 0.000)

No. 3
Entry from Alexandria: a crystal of SrCaSe2 relaxed with PBEsol (meta-GGA SCAN).

## Properties
ρ ... 4.8 g cm⁻³
Uncorrected formation energy ... -94 kJ/mol of atoms
Crystal system ... cubic
E above lowest polymorph ... 1330.9 meV/atom

abc: 5.203 5.203 5.203
angles: 60.00 60.00 60.00
Fractional coordinates of all 4 atoms:
Sr (0.250, 0.250, 0.250)
Ca (0.500, 0.500, 0.500)
Se (0.750, 0.750, 0.750)
Se (0.000, 0.000, 0.000)

No. 4
Entry from Alexandria: a crystal of SrCaSe2 relaxed with PBEsol (meta-GGA SCAN).

## Properties
ρ ... 4.3 g cm⁻³
Uncorrected formation energy ... -220 kJ/mol of atoms
Crystal system ... tetragonal
E above lowest polymorph ... 17.7 meV/atom

abc: 4.280 4.280 6.053
angles: 90.00 90.00 90.00
Fractional coordinates of all 4 atoms:
Se (0.500, 0.500, 0.000)
Se (0.000, 0.000, 0.500)
Ca (0.500, 0.500, 0.500)
Sr (0.000, 0.000, 0.000)

No. 5
Entry from Alexandria: a crystal of SrCaSe2 relaxed with PBEsol (meta-GGA SCAN).

## Properties
ρ ... 4.3 g cm⁻³
Uncorrected formation energy ... -222 kJ/mol of atoms
Crystal system ... trigonal
E above lowest polymorph ... 0.0 meV/atom

abc: 4.270 4.270 7.399
angles: 73.23 73.23 60.00
Fractional coordinates of all 4 atoms:
Sr (0.500, 0.500, 0.500)
Se (0.254, 0.254, 0.237)
Se (0.746, 0.746, 0.763)
Ca (0.000, 0.000, 0.000)

No. 6
Entry from Alexandria: a crystal of Sr2CaSe relaxed with PBEsol (meta-GGA SCAN).

## Properties
ρ ... 3.4 g cm⁻³
Uncorrected formation energy ... -94 kJ/mol of atoms
Crystal system ... tetragonal

abc: 3.817 3.817 10.001
angles: 90.00 90.00 90.00
Fractional coordinates of all 4 atoms:
Sr (0.000, 0.000, 0.319)
Sr (0.000, 0.000, 0.681)
Se (0.500, 0.500, 0.500)
Ca (0.500, 0.500, 0.000)

No. 7
Entry from Alexandria: a crystal of SrCaSe2 relaxed with PBEsol (meta-GGA SCAN).

## Properties
ρ ... 4.3 g cm⁻³
Uncorrected formation energy ... -201 kJ/mol of atoms
Crystal system ... orthorhombic
E above lowest polymorph ... 215.0 meV/atom

abc: 3.893 3.939 7.745
angles: 104.73 104.56 90.00
Fractional coordinates of all 4 atoms:
Se (0.951, 0.951, 0.901)
Se (0.712, 0.212, 0.424)
Ca (0.294, 0.794, 0.588)
Sr (0.543, 0.543, 0.087)

No. 8
Entry from Alexandria: a crystal of SrCaSe2 relaxed with PBEsol (meta-GGA SCAN).

## Properties
ρ ... 4.7 g cm⁻³
Uncorrected formation energy ... -190 kJ/mol of atoms
Crystal system ... monoclinic
E above lowest polymorph ... 331.3 meV/atom

abc: 3.702 3.710 7.399
angles: 96.44 90.00 90.00
Fractional coordinates of all 4 atoms:
Ca (0.500, 0.500, 0.000)
Sr (0.500, 0.500, 0.500)
Se (0.000, 0.036, 0.757)
Se (0.000, 0.964, 0.243)

No. 9
Entry from Alexandria: a crystal of Sr2CaSe relaxed with PBEsol (meta-GGA SCAN).

## Properties
ρ ... 3.5 g cm⁻³
Uncorrected formation energy ... -17 kJ/mol of atoms
Crystal system ... cubic

abc: 5.836 5.836 5.836
angles: 60.00 60.00 60.00
Fractional coordinates of all 4 atoms:
Sr (0.000, 0.000, 0.000)
Sr (0.750, 0.750, 0.750)
Ca (0.500, 0.500, 0.500)
Se (0.250, 0.250, 0.250)

No. 10
Entry from Alexandria: a crystal of SrCa2ZnSe relaxed with PBEsol (meta-GGA SCAN).

## Properties
ρ ... 2.8 g cm⁻³
Uncorrected formation energy ... -43 kJ/mol of atoms
Crystal system ... tetragonal

abc: 5.413 5.413 6.310
angles: 90.00 90.00 90.00
Fractional coordinates of all 5 atoms:
Zn (0.000, 0.000, 0.500)
Sr (0.500, 0.500, 0.500)
Ca (0.500, 0.000, 0.000)
Ca (0.000, 0.500, 0.000)
Se (0.000, 0.000, 0.000)

No. 11
Entry from Alexandria: a crystal of CaTaSe3 relaxed with PBEsol (meta-GGA SCAN).

## Properties
ρ ... 6.1 g cm⁻³
Uncorrected formation energy ... -90 kJ/mol of atoms
Crystal system ... cubic

abc: 5.004 5.004 5.004
angles: 90.00 90.00 90.00
Fractional coordinates of all 5 atoms:
Ta (0.000, 0.000, 0.000)
Se (0.000, 0.500, 0.000)
Se (0.000, 0.000, 0.500)
Se (0.500, 0.000, 0.000)
Ca (0.500, 0.500, 0.500)

No. 12
Entry from Alexandria: a crystal of CaTa3Se relaxed with PBEsol (meta-GGA SCAN).

## Properties
ρ ... 10.0 g cm⁻³
Uncorrected formation energy ... 80 kJ/mol of atoms
Crystal system ... cubic

abc: 4.793 4.793 4.793
angles: 90.00 90.00 90.00
Fractional coordinates of all 5 atoms:
Se (0.000, 0.000, 0.000)
Ta (0.000, 0.000, 0.500)
Ta (0.500, 0.000, 0.000)
Ta (0.000, 0.500, 0.000)
Ca (0.500, 0.500, 0.500)